No. 1
Compound: Y12ScIn3
Source: Alexandria via LeMat-Bulk
Functional: GGA-PBE
Structure: optimized geometry

Results
spin magnetization	0.7	μB per formula unit
space-group type	P4/mmm (123)
energy of formation	-0.20	eV/atom

a b c (Å): 4.8669 4.8669 19.7341
angles (deg): 90.00 90.00 90.00
Last column: nearest neighbours and their distance in Å.
Atoms (fractional coordinates):
Y 0.0000 0.0000 0.0000  4 In 3.44, 8 Y 3.44
Y 0.0000 0.0000 0.2471  4 In 3.44, 8 Y 3.44-3.47
Y 0.0000 0.0000 0.5000  4 Sc 3.44, 8 Y 3.50
Y 0.0000 0.0000 0.7529  4 In 3.44, 8 Y 3.44-3.47
Y 0.0000 0.5000 0.1235  4 In 3.43-3.44, 8 Y 3.44
Y 0.0000 0.5000 0.3726  8 Y 3.44-3.50, 2 In 3.49, 2 Sc 3.50
Y 0.0000 0.5000 0.6274  8 Y 3.44-3.50, 2 In 3.49, 2 Sc 3.50
Y 0.0000 0.5000 0.8765  4 In 3.43-3.44, 8 Y 3.44
Y 0.5000 0.0000 0.1235  4 In 3.43-3.44, 8 Y 3.44
Y 0.5000 0.0000 0.3726  8 Y 3.44-3.50, 2 In 3.49, 2 Sc 3.50
Y 0.5000 0.0000 0.6274  8 Y 3.44-3.50, 2 In 3.49, 2 Sc 3.50
Y 0.5000 0.0000 0.8765  4 In 3.43-3.44, 8 Y 3.44
Sc 0.5000 0.5000 0.5000  12 Y 3.44-3.50
In 0.5000 0.5000 0.0000  12 Y 3.44
In 0.5000 0.5000 0.2459  12 Y 3.43-3.49
In 0.5000 0.5000 0.7541  12 Y 3.43-3.49

---

No. 2
Compound: Y2ScIn
Source: Alexandria via LeMat-Bulk
Functional: GGA-PBE
Structure: optimized geometry

Results
spin magnetization	1.4	μB per formula unit
space-group type	F-43m (216)
energy of formation	-0.11	eV/atom

a b c (Å): 7.5491 7.5491 7.5491
angles (deg): 90.00 90.00 90.00
Last column: nearest neighbours and their distance in Å.
Atoms (fractional coordinates):
Y 0.0000 0.0000 0.0000  4 In 3.27, 4 Y 3.27
Y 0.0000 0.5000 0.5000  4 In 3.27, 4 Y 3.27
Y 0.2500 0.2500 0.2500  4 Sc 3.27, 4 Y 3.27
Y 0.2500 0.7500 0.7500  4 Sc 3.27, 4 Y 3.27
Y 0.5000 0.0000 0.5000  4 In 3.27, 4 Y 3.27
Y 0.5000 0.5000 0.0000  4 In 3.27, 4 Y 3.27
Y 0.7500 0.2500 0.7500  4 Sc 3.27, 4 Y 3.27
Y 0.7500 0.7500 0.2500  4 Sc 3.27, 4 Y 3.27
Sc 0.0000 0.0000 0.5000  4 In 3.27, 4 Y 3.27
Sc 0.0000 0.5000 0.0000  4 In 3.27, 4 Y 3.27
Sc 0.5000 0.0000 0.0000  4 In 3.27, 4 Y 3.27
Sc 0.5000 0.5000 0.5000  4 In 3.27, 4 Y 3.27
In 0.2500 0.2500 0.7500  4 Sc 3.27, 4 Y 3.27
In 0.2500 0.7500 0.2500  4 Sc 3.27, 4 Y 3.27
In 0.7500 0.2500 0.2500  4 Sc 3.27, 4 Y 3.27
In 0.7500 0.7500 0.7500  4 Sc 3.27, 4 Y 3.27

---

No. 3
Compound: Y2ScIn3
Source: Alexandria via LeMat-Bulk
Functional: GGA-PBE
Structure: optimized geometry

Results
spin magnetization	0.0	μB per formula unit
space-group type	P4/mmm (123)
energy of formation	-0.47	eV/atom

a b c (Å): 3.6742 3.6742 11.2424
angles (deg): 90.00 90.00 90.00
Last column: nearest neighbours and their distance in Å.
Atoms (fractional coordinates):
Y 0.0000 0.0000 0.1747  8 In 3.26
Y 0.0000 0.0000 0.8253  8 In 3.26
Sc 0.0000 0.0000 0.5000  8 In 3.10
In 0.5000 0.5000 0.0000  8 Y 3.26
In 0.5000 0.5000 0.3496  4 Sc 3.10, 4 Y 3.26, 1 In 3.38
In 0.5000 0.5000 0.6504  4 Sc 3.10, 4 Y 3.26, 1 In 3.38

---

No. 4
Compound: Y6ScIn5
Source: Alexandria via LeMat-Bulk
Functional: GGA-PBE
Structure: optimized geometry

Results
spin magnetization	1.8	μB per formula unit
space-group type	Immm (71)
energy of formation	-0.42	eV/atom

a b c (Å): 9.2965 9.2965 9.2965
angles (deg): 146.54 132.54 59.31
Last column: nearest neighbours and their distance in Å.
Atoms (fractional coordinates):
Y 0.0766 0.3300 0.7466  7 In 3.24-3.39, 1 Sc 3.34
Y 0.2418 0.0000 0.2418  6 In 3.15-3.25, 2 Sc 3.30
Y 0.4166 0.6700 0.7466  7 In 3.24-3.39, 1 Sc 3.34
Y 0.5834 0.3300 0.2534  7 In 3.24-3.39, 1 Sc 3.34
Y 0.7582 0.0000 0.7582  6 In 3.15-3.25, 2 Sc 3.30
Y 0.9234 0.6700 0.2534  7 In 3.24-3.39, 1 Sc 3.34
Sc 0.5000 0.5000 0.0000  8 Y 3.30-3.34, 4 In 3.66
In 0.0000 0.5000 0.5000  8 Y 3.23-3.31
In 0.1673 0.1673 0.0000  8 Y 3.24-3.25
In 0.3458 0.8458 0.5000  8 Y 3.15-3.39
In 0.6542 0.1542 0.5000  8 Y 3.15-3.39
In 0.8327 0.8327 0.0000  8 Y 3.24-3.25

---

No. 5
Compound: Y2ScIn
Source: Alexandria via LeMat-Bulk
Functional: GGA-PBE
Structure: optimized geometry

Results
spin magnetization	1.1	μB per formula unit
space-group type	P4/mmm (123)
energy of formation	-0.27	eV/atom

a b c (Å): 4.7791 4.7791 4.7103
angles (deg): 90.00 90.00 90.00
Last column: nearest neighbours and their distance in Å.
Atoms (fractional coordinates):
Y 0.0000 0.5000 0.0000  4 In 3.36, 4 Sc 3.36, 4 Y 3.38
Y 0.5000 0.0000 0.0000  4 In 3.36, 4 Sc 3.36, 4 Y 3.38
Sc 0.0000 0.0000 0.5000  8 Y 3.36, 4 In 3.38
In 0.5000 0.5000 0.5000  8 Y 3.36, 4 Sc 3.38

---

No. 6
Compound: Y2ScIn
Source: Alexandria via LeMat-Bulk
Functional: GGA-PBE
Structure: optimized geometry

Results
spin magnetization	0.0	μB per formula unit
space-group type	I-42d (122)
energy of formation	0.13	eV/atom

a b c (Å): 8.5296 8.5296 6.3952
angles (deg): 90.00 90.00 90.00
Last column: nearest neighbours and their distance in Å.
Atoms (fractional coordinates):
Y 0.2305 0.2500 0.1250  2 In 3.01, 2 Y 3.21, 2 Sc 3.24
Y 0.2500 0.7305 0.3750  2 In 3.01, 2 Y 3.21, 2 Sc 3.24
Y 0.2500 0.7695 0.8750  2 In 3.01, 2 Y 3.21, 2 Sc 3.24
Y 0.2695 0.2500 0.6250  2 In 3.01, 2 Y 3.21, 2 Sc 3.24
Y 0.7305 0.7500 0.6250  2 In 3.01, 2 Y 3.21, 2 Sc 3.24
Y 0.7500 0.2305 0.8750  2 In 3.01, 2 Y 3.21, 2 Sc 3.24
Y 0.7500 0.2695 0.3750  2 In 3.01, 2 Y 3.21, 2 Sc 3.24
Y 0.7695 0.7500 0.1250  2 In 3.01, 2 Y 3.21, 2 Sc 3.24
Sc 0.0000 0.0000 0.5000  2 In 3.20, 4 Y 3.24
Sc 0.0000 0.5000 0.7500  2 In 3.20, 4 Y 3.24
Sc 0.5000 0.0000 0.2500  2 In 3.20, 4 Y 3.24
Sc 0.5000 0.5000 0.0000  2 In 3.20, 4 Y 3.24
In 0.0000 0.0000 0.0000  4 Y 3.01, 2 Sc 3.20
In 0.0000 0.5000 0.2500  4 Y 3.01, 2 Sc 3.20
In 0.5000 0.0000 0.7500  4 Y 3.01, 2 Sc 3.20
In 0.5000 0.5000 0.5000  4 Y 3.01, 2 Sc 3.20

---

Question: Look up the energy of formation of the third one.
Answer: -0.47 eV/atom